(1)
Compound: AcNdSi3
Source: OQMD via LeMat-Bulk
Functional: PBE-GGA
Structure: relaxed

## Properties
Calculated density ... 6.42 Mg/m³
Symmetry ... Cmcm
Raw total energy ... -56.7 eV per cell

Cell: 12.835 12.835 4.056 Å, 90.00 90.00 159.35°
Sites, in units of the cell vectors:
Ac: 0.070 0.930 0.750
Ac: 0.930 0.070 0.250
Nd: 0.202 0.798 0.250
Nd: 0.798 0.202 0.750
Si: 0.323 0.677 0.250
Si: 0.379 0.621 0.750
Si: 0.475 0.525 0.750
Si: 0.525 0.475 0.250
Si: 0.621 0.379 0.250
Si: 0.677 0.323 0.750

***

(2)
Compound: AcNdSi
Source: OQMD via LeMat-Bulk
Functional: PBE-GGA
Structure: relaxed

## Properties
Offset from the most stable computed form ... 0 meV per atom
Calculated density ... 6.72 Mg/m³
Symmetry ... F-43m
Raw total energy ... -15.3 eV per cell

Cell: 5.187 5.187 5.187 Å, 60.00 60.00 60.00°
Sites, in units of the cell vectors:
Ac: 0.000 0.000 0.000
Nd: 0.500 0.500 0.500
Si: 0.250 0.250 0.250

***

(3)
Compound: SrAcNd
Source: OQMD via LeMat-Bulk
Functional: PBE-GGA
Structure: relaxed

## Properties
Offset from the most stable computed form ... 0 meV per atom
Calculated density ... 4.91 Mg/m³
Symmetry ... F-43m
Raw total energy ... -8.5 eV per cell

Cell: 6.034 6.034 6.034 Å, 60.00 60.00 60.00°
Sites, in units of the cell vectors:
Sr: 0.000 0.000 0.000
Ac: 0.500 0.500 0.500
Nd: 0.250 0.250 0.250

***

(4)
Compound: AcNdTa
Source: OQMD via LeMat-Bulk
Functional: PBE-GGA
Structure: relaxed

## Properties
Energy relative to the elements ... 0.9046 eV/atom
Offset from the most stable computed form ... 0 meV per atom
Calculated density ... 8.96 Mg/m³
Symmetry ... F-43m
Raw total energy ... -18.0 eV per cell

Cell: 5.251 5.251 5.251 Å, 60.00 60.00 60.00°
Sites, in units of the cell vectors:
Ac: 0.000 0.000 0.000
Nd: 0.500 0.500 0.500
Ta: 0.750 0.750 0.750

***

(5)
Compound: AcNdTc
Source: OQMD via LeMat-Bulk
Functional: PBE-GGA
Structure: relaxed

## Properties
Energy relative to the elements ... 0.9869 eV/atom
Calculated density ... 8.77 Mg/m³
Symmetry ... F-43m
Raw total energy ... -16.3 eV per cell

Cell: 5.008 5.008 5.008 Å, 60.00 60.00 60.00°
Sites, in units of the cell vectors:
Ac: 0.000 0.000 0.000
Nd: 0.750 0.750 0.750
Tc: 0.500 0.500 0.500

***

(6)
Compound: AcNdTe3
Source: OQMD via LeMat-Bulk
Functional: PBE-GGA
Structure: relaxed

## Properties
Calculated density ... 6.72 Mg/m³
Symmetry ... Cmcm
Raw total energy ... -51.7 eV per cell

Cell: 7.685 7.685 11.238 Å, 90.00 90.00 145.84°
Sites, in units of the cell vectors:
Ac: 0.250 0.750 0.750
Ac: 0.750 0.250 0.250
Nd: 0.000 0.000 0.000
Nd: 0.000 0.000 0.500
Te: 0.087 0.913 0.250
Te: 0.354 0.646 0.063
Te: 0.354 0.646 0.437
Te: 0.646 0.354 0.563
Te: 0.646 0.354 0.937
Te: 0.913 0.087 0.750

***

(7)
Compound: AcNdTe
Source: OQMD via LeMat-Bulk
Functional: PBE-GGA
Structure: relaxed

## Properties
Offset from the most stable computed form ... 0 meV per atom
Calculated density ... 7.38 Mg/m³
Symmetry ... F-43m
Raw total energy ... -13.8 eV per cell

Cell: 5.414 5.414 5.414 Å, 60.00 60.00 60.00°
Sites, in units of the cell vectors:
Ac: 0.000 0.000 0.000
Nd: 0.500 0.500 0.500
Te: 0.250 0.250 0.250

***

(8)
Compound: AcNdU
Source: OQMD via LeMat-Bulk
Functional: PBE-GGA
Structure: relaxed

## Properties
Energy relative to the elements ... 1.2508 eV/atom
Offset from the most stable computed form ... 0 meV per atom
Calculated density ... 8.57 Mg/m³
Symmetry ... F-43m
Raw total energy ... -16.4 eV per cell

Cell: 5.507 5.507 5.507 Å, 60.00 60.00 60.00°
Sites, in units of the cell vectors:
Ac: 0.000 0.000 0.000
Nd: 0.500 0.500 0.500
U: 0.250 0.250 0.250

***

(9)
Compound: AcNdW
Source: OQMD via LeMat-Bulk
Functional: PBE-GGA
Structure: relaxed

## Properties
Energy relative to the elements ... 0.8441 eV/atom
Offset from the most stable computed form ... 0 meV per atom
Calculated density ... 9.85 Mg/m³
Symmetry ... F-43m
Raw total energy ... -19.3 eV per cell

Cell: 5.096 5.096 5.096 Å, 60.00 60.00 60.00°
Sites, in units of the cell vectors:
Ac: 0.000 0.000 0.000
Nd: 0.500 0.500 0.500
W: 0.750 0.750 0.750

***

(10)
Compound: AcNdY
Source: OQMD via LeMat-Bulk
Functional: PBE-GGA
Structure: relaxed

## Properties
Energy relative to the elements ... 0.6721 eV/atom
Offset from the most stable computed form ... 0 meV per atom
Calculated density ... 5.76 Mg/m³
Symmetry ... F-43m
Raw total energy ... -13.3 eV per cell

Cell: 5.724 5.724 5.724 Å, 60.00 60.00 60.00°
Sites, in units of the cell vectors:
Ac: 0.000 0.000 0.000
Nd: 0.500 0.500 0.500
Y: 0.250 0.250 0.250

***

(11)
Compound: Ac2Ni3
Source: OQMD via LeMat-Bulk
Functional: PBE-GGA
Structure: relaxed

## Properties
Energy relative to the elements ... 0.0874 eV/atom
Calculated density ... 8.32 Mg/m³
Symmetry ... R-3c
Raw total energy ... -49.0 eV per cell

Cell: 7.430 7.430 7.430 Å, 54.32 54.32 54.32°
Sites, in units of the cell vectors:
Ac: 0.109 0.109 0.109
Ac: 0.391 0.391 0.391
Ac: 0.609 0.609 0.609
Ac: 0.891 0.891 0.891
Ni: 0.049 0.250 0.451
Ni: 0.250 0.451 0.049
Ni: 0.451 0.049 0.250
Ni: 0.549 0.951 0.750
Ni: 0.750 0.549 0.951
Ni: 0.951 0.750 0.549

***

(12)
Compound: Ac3Ni
Source: OQMD via LeMat-Bulk
Functional: PBE-GGA
Structure: relaxed

## Properties
Energy relative to the elements ... 0.3425 eV/atom
Offset from the most stable computed form ... 193 meV per atom
Calculated density ... 8.83 Mg/m³
Symmetry ... Pm-3m
Raw total energy ... -16.5 eV per cell

Cell: 5.182 5.182 5.182 Å, 90.00 90.00 90.00°
Sites, in units of the cell vectors:
Ac: 0.000 0.000 0.500
Ac: 0.000 0.500 0.000
Ac: 0.500 0.000 0.000
Ni: 0.500 0.500 0.500

***

(13)
Compound: Ac3Ni
Source: OQMD via LeMat-Bulk
Functional: PBE-GGA
Structure: relaxed

## Properties
Energy relative to the elements ... 0.4226 eV/atom
Offset from the most stable computed form ... 273 meV per atom
Calculated density ... 9.31 Mg/m³
Symmetry ... Fm-3m
Raw total energy ... -16.2 eV per cell

Cell: 5.714 5.714 5.714 Å, 60.00 60.00 60.00°
Sites, in units of the cell vectors:
Ac: 0.000 0.000 0.000
Ac: 0.250 0.250 0.250
Ac: 0.750 0.750 0.750
Ni: 0.500 0.500 0.500

***

(14)
Compound: Ac3Ni
Source: OQMD via LeMat-Bulk
Functional: PBE-GGA
Structure: relaxed

## Properties
Energy relative to the elements ... 0.3407 eV/atom
Offset from the most stable computed form ... 191 meV per atom
Calculated density ... 8.99 Mg/m³
Symmetry ... I4/mmm
Raw total energy ... -16.5 eV per cell

Cell: 6.597 6.597 6.597 Å, 136.03 136.03 63.93°
Sites, in units of the cell vectors:
Ac: 0.000 0.000 0.000
Ac: 0.250 0.750 0.500
Ac: 0.750 0.250 0.500
Ni: 0.500 0.500 0.000